Entry 1:
A plane-wave DFT calculation with PBE-GGA was carried out for a relaxed structure of Pr6Mg5Hg.

Formation energy = -173 meV/atom

Cell and atoms, written as POSCAR:
```
Pr6Mg5Hg
1.0
2.757 -8.287 0.000
2.757 8.287 0.000
0.000 0.000 7.806
Pr Mg Hg
6 5 1
direct
0.000 0.000 0.248
0.000 0.000 0.752
0.335 0.665 0.251
0.335 0.665 0.749
0.665 0.335 0.251
0.665 0.335 0.749
0.167 0.833 0.500
0.172 0.828 0.000
0.500 0.500 0.500
0.828 0.172 0.000
0.833 0.167 0.500
0.500 0.500 0.000
```

***

Entry 2:
A plane-wave DFT calculation with PBE-GGA was carried out for a relaxed structure of Y2PaIr2.

Formation energy = -766 meV/atom

Cell and atoms, written as POSCAR:
```
Y2PaIr2
1.0
5.625 -3.012 0.000
5.625 3.012 0.000
-1.388 0.000 7.153
Y Pa Ir
4 2 4
direct
0.034 0.272 0.149
0.272 0.034 0.649
0.728 0.966 0.351
0.966 0.728 0.851
0.405 0.595 0.250
0.595 0.405 0.750
0.211 0.494 0.488
0.494 0.211 0.988
0.506 0.789 0.012
0.789 0.506 0.512
```

***

Entry 3:
A plane-wave DFT calculation with PBE-GGA was carried out for a relaxed structure of Ca2MnBeV.

Formation energy = 1730 meV/atom

Cell and atoms, written as POSCAR:
```
Ca2MnBeV
1.0
5.284 0.000 0.000
0.000 5.284 0.000
0.000 0.000 4.289
Ca Mn Be V
2 1 1 1
direct
0.000 0.500 0.000
0.500 0.000 0.000
0.000 0.000 0.500
0.500 0.500 0.500
0.500 0.500 0.000
```

***

Entry 4:
A plane-wave DFT calculation with PBE-GGA was carried out for a relaxed structure of CsMgSn4.

Formation energy = -123 meV/atom

Cell and atoms, written as POSCAR:
```
CsMgSn4
1.0
5.309 0.000 0.000
-2.654 4.597 0.000
0.000 0.000 8.461
Cs Mg Sn
1 1 4
direct
0.000 0.000 0.000
0.000 0.000 0.500
0.333 0.667 0.324
0.333 0.667 0.676
0.667 0.333 0.324
0.667 0.333 0.676
```

***

Entry 5:
A plane-wave DFT calculation with PBE-GGA was carried out for a relaxed structure of LiSc.

Relative energy among the computed polymorphs = 0.102 eV/atom
Formation energy = 193 meV/atom

Cell and atoms, written as POSCAR:
```
LiSc
1.0
3.071 0.000 0.000
0.000 4.795 0.000
-1.523 0.000 5.965
Li Sc
2 2
direct
0.023 0.250 0.129
0.977 0.750 0.871
0.328 0.250 0.639
0.672 0.750 0.361
```

***

Entry 6:
A plane-wave DFT calculation with PBE-GGA was carried out for a relaxed structure of Te3PdPt.

Relative energy among the computed polymorphs = 0.933 eV/atom
Energy relative to the elements, uncorrected = 0.621 eV/atom

Cell and atoms, written as POSCAR:
```
Te3PdPt
1.0
5.294 0.000 0.000
0.000 5.294 0.000
0.000 0.000 5.294
Te Pd Pt
3 1 1
direct
0.000 0.000 0.500
0.000 0.500 0.000
0.500 0.000 0.000
0.500 0.500 0.500
0.000 0.000 0.000
```

***

Entry 7:
A plane-wave DFT calculation with PBE-GGA was carried out for a relaxed structure of Li3MoAs.

Relative energy among the computed polymorphs = 0.000 eV/atom
Formation energy = 823 meV/atom

Cell and atoms, written as POSCAR:
```
Li3MoAs
1.0
4.432 0.000 0.000
0.000 4.432 0.000
0.000 0.000 4.432
Li Mo As
3 1 1
direct
0.000 0.000 0.500
0.000 0.500 0.000
0.500 0.000 0.000
0.500 0.500 0.500
0.000 0.000 0.000
```

***

Entry 8:
A plane-wave DFT calculation with PBE-GGA was carried out for a relaxed structure of Ba2Cd3HgGe4.

Formation energy = -312 meV/atom

Cell and atoms, written as POSCAR:
```
Ba2Cd3HgGe4
1.0
4.745 0.000 0.000
0.000 4.745 0.000
0.000 0.000 11.580
Ba Cd Hg Ge
2 3 1 4
direct
0.000 0.500 0.249
0.500 0.000 0.751
0.000 0.000 0.000
0.000 0.500 0.630
0.500 0.000 0.370
0.500 0.500 0.000
0.000 0.000 0.500
0.000 0.500 0.864
0.500 0.000 0.136
0.500 0.500 0.500
```

***

Entry 9:
A plane-wave DFT calculation with PBE-GGA was carried out for a relaxed structure of CrCdTePb2.

Energy relative to the elements, uncorrected = 1.419 eV/atom

Cell and atoms, written as POSCAR:
```
CrCdTePb2
1.0
5.462 0.000 0.000
0.000 5.462 0.000
0.000 0.000 5.571
Cr Cd Te Pb
1 1 1 2
direct
0.000 0.000 0.000
0.500 0.500 0.500
0.500 0.500 0.000
0.000 0.500 0.500
0.500 0.000 0.500
```

***

Entry 10:
A plane-wave DFT calculation with PBE-GGA was carried out for a relaxed structure of Mg3H2Ir3.

Relative energy among the computed polymorphs = 0.048 eV/atom

Cell and atoms, written as POSCAR:
```
Mg3H2Ir3
1.0
4.580 0.000 0.000
0.000 3.139 0.000
-2.166 0.000 6.841
Mg H Ir
3 2 3
direct
0.000 0.000 0.000
0.291 0.000 0.649
0.684 0.000 0.345
0.543 0.000 0.922
0.833 0.500 0.171
0.196 0.500 0.339
0.470 0.500 0.992
0.807 0.500 0.667
```

***

Entry 11:
A plane-wave DFT calculation with PBE-GGA was carried out for a relaxed structure of K2ScCo.

Relative energy among the computed polymorphs = 0.705 eV/atom
Formation energy = 1064 meV/atom

Cell and atoms, written as POSCAR:
```
K2ScCo
1.0
2.960 -6.132 0.000
2.960 6.132 0.000
0.000 0.000 3.279
K Sc Co
2 1 1
direct
0.000 0.500 0.000
0.500 0.000 0.000
0.000 0.000 0.500
0.500 0.500 0.500
```

***

Entry 12:
A plane-wave DFT calculation with PBE-GGA was carried out for a relaxed structure of V2BP.

Relative energy among the computed polymorphs = 0.000 eV/atom
Formation energy = -625 meV/atom

Cell and atoms, written as POSCAR:
```
V2BP
1.0
4.477 0.000 0.000
0.000 3.161 0.000
-2.070 0.000 6.062
V B P
4 2 2
direct
0.195 0.250 0.412
0.263 0.750 0.055
0.737 0.250 0.945
0.805 0.750 0.588
0.132 0.250 0.789
0.868 0.750 0.211
0.368 0.750 0.711
0.632 0.250 0.289
```

***

Entry 13:
A plane-wave DFT calculation with PBE-GGA was carried out for a relaxed structure of AlRe2S.

Relative energy among the computed polymorphs = 0.000 eV/atom
Energy relative to the elements, uncorrected = 0.385 eV/atom

Cell and atoms, written as POSCAR:
```
AlRe2S
1.0
0.000 3.023 3.023
3.023 0.000 3.023
3.023 3.023 0.000
Al Re S
1 2 1
direct
0.000 0.000 0.000
0.250 0.250 0.250
0.750 0.750 0.750
0.500 0.500 0.500
```

***

Summary of DFT total energy in eV per atom
-3.2523; -8.7955; -3.4732; -3.1992; -3.9296; -3.5104; -3.4213; -2.8482; -2.7999; -5.0184; -2.8437; -8.2059; -7.8067
(order as listed above)
Summary of magnetic moment in μB/f.u.
0.00; 0.00; 0.01; 0.00; 0.00; 0.00; 0.00; 0.00; 0.06; 0.00; 1.64; 0.00; 0.00
(order as listed above)